#a
This record from Alexandria describes a relaxed structure of BaTe2Pd. The functional is PBE.

Cell: 4.1642 4.1642 28.7413 Å, 90.00 90.00 120.00°
Space group R-3m (No. 166, hexagonal axes)
Inequivalent atoms, fractional coordinates:
Ba1 0.0000 0.0000 0.0000 x3
Te1 0.0000 0.0000 0.1192 x6
Pd1 0.0000 0.0000 0.5000 x3

Calculated values
Magnetization   0.3 μB per formula unit
Crystal system   trigonal

---

#b
This record from Alexandria describes a relaxed structure of BaTe2Pd. The functional is PBE.

Cell: 6.0944 6.0944 12.0247 Å, 90.00 90.00 120.00°
Space group R-3m (No. 166, hexagonal axes)
Inequivalent atoms, fractional coordinates:
Ba1 0.0000 0.0000 0.0000 x3
Te1 0.0000 0.0000 0.2840 x6
Pd1 0.0000 0.0000 0.5000 x3

Calculated values
Magnetization   0.0 μB per formula unit
Crystal system   trigonal

---

Energetically preferred structure: #b | next structure: +28.7 kJ/mol of atoms

---

#a
This record from Alexandria describes a relaxed structure of BaTiPd3. The functional is PBE.

Cell: 4.917 4.917 4.917 Å, 90.00 90.00 90.00°
Space group Pm-3m (No. 221)
Inequivalent atoms, fractional coordinates:
Ba1 0.000 0.000 0.000 x1
Ti1 0.500 0.500 0.500 x1
Pd1 0.000 0.500 0.500 x3

Calculated values
Magnetization   0.0 μB per formula unit
Crystal system   cubic

---

#b
This record from Alexandria describes a relaxed structure of BaTiPd3. The functional is PBE.

Cell: 5.296 5.296 5.296 Å, 90.00 90.00 90.00°
Space group Pm-3m (No. 221)
Inequivalent atoms, fractional coordinates:
Ba1 0.000 0.000 0.000 x1
Ti1 0.500 0.500 0.500 x1
Pd1 0.000 0.000 0.500 x3

Calculated values
Magnetization   0.0 μB per formula unit
Crystal system   cubic

---

Energetically preferred structure: #a | next structure: +145.4 kJ/mol of atoms

---

#a
This record from Alexandria describes a relaxed structure of BaTiPd2. The functional is PBE.

Cell: 7.083 7.083 7.083 Å, 90.00 90.00 90.00°
Space group Fm-3m (No. 225)
Inequivalent atoms, fractional coordinates:
Ba1 0.000 0.000 0.000 x4
Ti1 0.000 0.000 0.500 x4
Pd1 0.250 0.250 0.250 x8

Calculated values
Magnetization   0.0 μB per formula unit
Crystal system   cubic

---

#b
This record from Alexandria describes a relaxed structure of BaTiPd2. The functional is PBE.

Cell: 3.338 3.338 7.781 Å, 90.00 90.00 90.00°
Space group P4/mmm (No. 123)
Inequivalent atoms, fractional coordinates:
Ba1 0.000 0.000 0.000 x1
Ti1 0.000 0.000 0.500 x1
Pd1 0.500 0.500 0.322 x2

Calculated values
Magnetization   0.0 μB per formula unit
Crystal system   tetragonal

---

Energetically preferred structure: #b | next structure: +42.3 kJ/mol of atoms

---

#a
This record from Alexandria describes a relaxed structure of BaTl3Pd2. The functional is PBE.

Cell: 7.8720 7.8720 19.4365 Å, 90.00 90.00 120.00°
Space group R-3m (No. 166, hexagonal axes)
Inequivalent atoms, fractional coordinates:
Ba1 0.0000 0.0000 0.2249 x6
Tl1 0.0161 0.5080 0.2471 x18
Pd1 0.0000 0.0000 0.0000 x3
Pd2 0.0000 0.5000 0.0000 x9

Calculated values
Magnetization   0.0 μB per formula unit
Crystal system   trigonal

---

#b
This record from Alexandria describes a relaxed structure of BaTl3Pd2. The functional is PBE.

Cell: 18.644 4.682 11.689 Å, 90.00 109.96 90.00°
Space group C2/m (No. 12)
Inequivalent atoms, fractional coordinates:
Ba1 0.000 0.000 0.000 x2
Ba2 0.159 0.000 0.707 x4
Tl1 0.000 0.500 0.500 x2
Tl2 0.042 0.000 0.344 x4
Tl3 0.127 0.500 0.194 x4
Tl4 0.172 0.500 0.956 x4
Tl5 0.221 0.000 0.390 x4
Pd1 0.023 0.500 0.782 x4
Pd2 0.133 0.500 0.440 x4
Pd3 0.200 0.000 0.127 x4

Calculated values
Magnetization   0.0 μB per formula unit
Crystal system   monoclinic

---

Energetically preferred structure: #b | next structure: +11.8 kJ/mol of atoms

---

#a
This record from Alexandria describes a relaxed structure of Ba2TlPd. The functional is PBE.

Cell: 8.225 8.225 8.225 Å, 90.00 90.00 90.00°
Space group Fm-3m (No. 225)
Inequivalent atoms, fractional coordinates:
Ba1 0.250 0.250 0.250 x8
Tl1 0.000 0.000 0.000 x4
Pd1 0.000 0.000 0.500 x4

Calculated values
Magnetization   0.0 μB per formula unit
Crystal system   cubic

---

#b
This record from Alexandria describes a relaxed structure of Ba2TlPd. The functional is PBE.

Cell: 4.082 4.082 18.993 Å, 90.00 90.00 90.00°
Space group I4/mmm (No. 139)
Inequivalent atoms, fractional coordinates:
Ba1 0.000 0.000 0.154 x4
Tl1 0.000 0.000 0.500 x2
Pd1 0.000 0.000 0.000 x2

Calculated values
Magnetization   0.0 μB per formula unit
Crystal system   tetragonal

---

#c
This record from Alexandria describes a relaxed structure of Ba2TlPd. The functional is PBE.

Cell: 6.739 4.588 9.870 Å, 90.00 105.71 90.00°
Space group P2_1/m (No. 11)
Inequivalent atoms, fractional coordinates:
Ba1 0.195 0.250 0.416 x2
Ba2 0.273 0.750 0.058 x2
Tl1 0.350 0.750 0.717 x2
Pd1 0.137 0.250 0.789 x2

Calculated values
Magnetization   0.0 μB per formula unit
Crystal system   monoclinic

---

Energetically preferred structure: #c | next structure: +10.5 kJ/mol of atoms

---

#a
This record from Alexandria describes a relaxed structure of BaTlPd4. The functional is PBE.

Cell: 7.927 7.927 7.927 Å, 90.00 90.00 90.00°
Space group F-43m (No. 216)
Inequivalent atoms, fractional coordinates:
Ba1 0.000 0.000 0.000 x4
Tl1 0.250 0.250 0.750 x4
Pd1 0.124 0.124 0.376 x16

Calculated values
Magnetization   0.0 μB per formula unit
Crystal system   cubic

---

#b
This record from Alexandria describes a relaxed structure of BaTlPd4. The functional is PBE.

Cell: 8.025 4.325 8.199 Å, 90.00 90.00 90.00°
Space group Pmma (No. 51)
Inequivalent atoms, fractional coordinates:
Ba1 0.250 0.000 0.166 x2
Tl1 0.250 0.000 0.738 x2
Pd1 0.000 0.000 0.500 x2
Pd2 0.038 0.500 0.722 x4
Pd3 0.250 0.500 0.456 x2

Calculated values
Magnetization   0.0 μB per formula unit
Crystal system   orthorhombic

---

Energetically preferred structure: #a | next structure: +11.3 kJ/mol of atoms

---

#a
This record from Alexandria describes a relaxed structure of Ba3TlPd3. The functional is PBE.

Cell: 9.6551 9.6551 6.4131 Å, 90.00 90.00 120.00°
Space group P6_3/m (No. 176)
Inequivalent atoms, fractional coordinates:
Ba1 0.0554 0.6973 0.2500 x6
Tl1 0.3333 0.6667 0.7500 x2
Pd1 0.0568 0.6835 0.7500 x6

Calculated values
Magnetization   0.0 μB per formula unit
Crystal system   hexagonal

---

#b
This record from Alexandria describes a relaxed structure of Ba3TlPd3. The functional is PBE.

Cell: 4.648 11.899 15.384 Å, 90.00 90.00 90.00°
Space group Cmcm (No. 63)
Inequivalent atoms, fractional coordinates:
Ba1 0.000 0.014 0.250 x4
Ba2 0.000 0.291 0.105 x8
Tl1 0.000 0.000 0.000 x4
Pd1 0.000 0.289 0.750 x4
Pd2 0.000 0.420 0.592 x8

Calculated values
Magnetization   0.0 μB per formula unit
Crystal system   orthorhombic

---

Energetically preferred structure: #b | next structure: +10.8 kJ/mol of atoms

---

#a
This record from Alexandria describes a relaxed structure of BaTl4Pd2. The functional is PBE.

Cell: 4.770 17.279 4.692 Å, 90.00 90.00 90.00°
Space group Cmmm (No. 65)
Inequivalent atoms, fractional coordinates:
Ba1 0.000 0.000 0.000 x2
Tl1 0.000 0.174 0.500 x4
Tl2 0.000 0.324 0.000 x4
Pd1 0.000 0.422 0.500 x4

Calculated values
Magnetization   0.0 μB per formula unit
Crystal system   orthorhombic

---

#b
This record from Alexandria describes a relaxed structure of BaTl4Pd2. The functional is PBE.

Cell: 19.654 4.877 7.624 Å, 90.00 90.00 90.00°
Space group Pnma (No. 62)
Inequivalent atoms, fractional coordinates:
Ba1 0.137 0.250 0.019 x4
Tl1 0.033 0.750 0.832 x4
Tl2 0.075 0.250 0.505 x4
Tl3 0.184 0.750 0.320 x4
Tl4 0.194 0.750 0.728 x4
Pd1 0.039 0.750 0.260 x4
Pd2 0.219 0.250 0.531 x4

Calculated values
Magnetization   0.0 μB per formula unit
Crystal system   orthorhombic

---

Energetically preferred structure: #b | next structure: +5.0 kJ/mol of atoms

---

#a
This record from Alexandria describes a relaxed structure of Ba3Tl4Pd2. The functional is PBE.

Cell: 12.855 4.664 10.439 Å, 90.00 111.39 90.00°
Space group C2/m (No. 12)
Inequivalent atoms, fractional coordinates:
Ba1 0.000 0.000 0.000 x2
Ba2 0.183 0.500 0.626 x4
Tl1 0.019 0.000 0.344 x4
Tl2 0.250 0.000 0.901 x4
Pd1 0.111 0.500 0.268 x4

Calculated values
Magnetization   0.0 μB per formula unit
Crystal system   monoclinic

---

#b
This record from Alexandria describes a relaxed structure of Ba3Tl4Pd2. The functional is PBE.

Cell: 14.933 10.885 7.829 Å, 90.00 109.05 90.00°
Space group C2/c (No. 15)
Inequivalent atoms, fractional coordinates:
Ba1 0.000 0.047 0.250 x4
Ba2 0.132 0.397 0.157 x8
Tl1 0.113 0.258 0.635 x8
Tl2 0.191 0.105 0.054 x8
Pd1 0.223 0.132 0.436 x8

Calculated values
Magnetization   0.0 μB per formula unit
Crystal system   monoclinic

---

Energetically preferred structure: #a | next structure: +5.0 kJ/mol of atoms

---

#a
This record from Alexandria describes a relaxed structure of Ba4TlPd2. The functional is PBE.

Cell: 4.607 12.025 21.657 Å, 90.00 90.00 90.00°
Space group Cmcm (No. 63)
Inequivalent atoms, fractional coordinates:
Ba1 0.000 0.000 0.000 x4
Ba2 0.000 0.273 0.122 x8
Ba3 0.000 0.445 0.750 x4
Tl1 0.000 0.157 0.750 x4
Pd1 0.000 0.299 0.526 x8

Calculated values
Magnetization   0.0 μB per formula unit
Crystal system   orthorhombic

---

#b
This record from Alexandria describes a relaxed structure of Ba4TlPd2. The functional is PBE.

Cell: 5.5554 5.5554 30.6237 Å, 90.00 90.00 120.00°
Space group R-3m (No. 166, hexagonal axes)
Inequivalent atoms, fractional coordinates:
Ba1 0.0000 0.0000 0.1146 x6
Ba2 0.0000 0.0000 0.2947 x6
Tl1 0.0000 0.0000 0.5000 x3
Pd1 0.0000 0.0000 0.4061 x6

Calculated values
Magnetization   0.3 μB per formula unit
Crystal system   trigonal

---

Energetically preferred structure: #b | next structure: +3.1 kJ/mol of atoms